An optimized crystal structure of Ta2Pd2Pt. Source: Alexandria via LeMat-Bulk, functional PBE-GGA.

The space group is P4/mbm (No. 127) and the conventional cell measures 7.1197, 7.1197 and 3.3285 Å, with angles of 90.00, 90.00 and 90.00 degrees. Symmetry generates all atoms from Ta at (0.1742, 0.3258, 0.0000), Pd at (0.1298, 0.6298, 0.5000) and Pt at (0.0000, 0.0000, 0.5000).

The calculated total energy is -82.0 eV/cell. The value obtained for the calculated formation energy is -0.178 eV per atom. The density is 15.15 g/cm³.